[1]
Pr5Nd4Er2 (PBE, optimized geometry); symmetry = No. 71; spin magnetization = 0.00 μB per cell; crystal system = orthorhombic; ΔE_f = 0.224 eV per atom; E above lowest polymorph = 0.067 eV/atom
1.0
3.553 0.000 0.000
0.000 9.565 0.000
-1.776 -4.782 11.712
Pr Nd Er
5 4 2
direct
0.848 0.055 0.696
0.848 0.641 0.696
0.152 0.359 0.304
0.152 0.945 0.304
0.500 0.000 0.000
0.000 0.298 0.000
0.596 0.596 0.191
0.000 0.702 0.000
0.404 0.404 0.809
0.270 0.270 0.540
0.730 0.730 0.460



[2]
TlCr2Hg (PBE, optimized geometry); symmetry = No. 122; spin magnetization = 17.04 μB per cell; crystal system = tetragonal; ΔE_f = 0.843 eV per atom
1.0
-5.621 -4.500 2.598
5.108 -4.083 3.979
-0.641 -2.413 5.710
Cr Tl Hg
4 2 2
direct
0.619 0.125 0.250
0.131 0.625 0.250
0.375 0.381 0.750
0.875 0.869 0.750
0.000 0.000 0.000
0.750 0.250 0.500
0.500 0.500 0.000
0.250 0.750 0.500



[3]
Pr2MgOs (PBE, optimized geometry); symmetry = No. 225; spin magnetization = 0.00 μB per cell; crystal system = cubic; ΔE_f = 0.053 eV per atom; E above lowest polymorph = 0.053 eV/atom
1.0
5.199 0.000 0.000
2.599 4.502 0.000
2.599 1.501 4.245
Pr Mg Os
2 1 1
direct
0.250 0.250 0.250
0.750 0.750 0.750
0.500 0.500 0.500
0.000 0.000 0.000



> The highest ΔE_f belongs to which entry?

TlCr2Hg



> The highest ΔE_f belongs to which entry?

TlCr2Hg



> Which value of spin magnetization does entry 2 give?

17.04 μB per cell